# CaMnInO4

CaMnInO4 after structural relaxation (PBE+U, the Alexandria database).

Geometry as CIF:
```
data_CaMnInO4
_cell_length_a 5.8966
_cell_length_b 5.8939
_cell_length_c 6.2217
_cell_angle_alpha 90.00
_cell_angle_beta 106.19
_cell_angle_gamma 90.00
_space_group_name_H-M_alt 'P 1 21/m 1'
_space_group_IT_number 11
_space_group_name_Hall '-P 2yb'
loop_
_atom_site_label
_atom_site_type_symbol
_atom_site_fract_x
_atom_site_fract_y
_atom_site_fract_z
Ca1 Ca 0.2227 0.2500 0.0443
Mn1 Mn 0.3177 0.7500 0.3362
In1 In 0.1504 0.2500 0.5278
O1 O 0.0416 0.5217 0.2768
O2 O 0.4594 0.2500 0.8209
O3 O 0.4664 0.2500 0.3913
```

Computed properties:
The total energy comes out at -44.2 eV/f.u. The total moment is 4.00 μB per formula unit. The crystal system is monoclinic.